Sr3Co2O6 | Alexandria via LeMat-Bulk | GGA+U | optimized geometry; distance to the lowest polymorph of the same formula = 0.000 eV per atom; final energy = -6.09 eV/atom
1.0
6.616 0.000 0.000
-0.310 6.621 0.000
-0.301 -0.314 6.624
Sr Co O
6 4 12
direct
0.113 0.248 0.387
0.247 0.114 0.887
0.385 0.615 0.749
0.615 0.385 0.251
0.753 0.886 0.113
0.887 0.752 0.613
0.000 0.500 0.000
0.257 0.745 0.248
0.500 0.000 0.500
0.743 0.255 0.752
0.039 0.410 0.726
0.087 0.775 0.957
0.226 0.913 0.543
0.276 0.463 0.089
0.409 0.037 0.226
0.462 0.277 0.589
0.538 0.723 0.411
0.591 0.963 0.774
0.724 0.537 0.911
0.774 0.087 0.457
0.913 0.225 0.043
0.961 0.590 0.274